[1]
10
Lattice="3.7623 0.0000 0.0000 0.0000 7.2126 0.0000 0.0000 0.0000 7.2126" Properties=species:S:1:pos:R:3 comment="Y2Cu2Ag | Alexandria via LeMat-Bulk | GGA-PBEsol | relaxed" dft_energy_ev_per_fu=-26.91 spacegroup="No. 127" pbc="T T T"
Y 1.8812 4.8856 5.9333
Y 1.8812 5.9333 2.3270
Y 1.8812 1.2793 4.8856
Y 1.8812 2.3270 1.2793
Cu 0.0000 4.4711 0.8648
Cu 0.0000 2.7415 6.3478
Cu 0.0000 0.8648 2.7415
Cu 0.0000 6.3478 4.4711
Ag 0.0000 3.6063 3.6063
Ag 0.0000 0.0000 0.0000


[2]
5
Lattice="-2.2375 -0.4655 -4.8931 -3.3937 -3.7428 1.9079 -3.5556 3.8653 1.2582" Properties=species:S:1:pos:R:3 comment="Y3CuAg | Alexandria via LeMat-Bulk | GGA-PBEsol | relaxed" dft_energy_ev_per_fu=-25.08 spacegroup="No. 221" pbc="T T T"
Cu -4.5934 -0.1715 -0.8635
Y -1.7778 1.9326 0.6291
Y -1.1188 -0.2328 -2.4466
Y -1.6968 -1.8714 0.9540
Ag 0.0000 0.0000 0.0000


[3]
4
Lattice="4.9608 0.0000 0.0000 2.4804 4.2962 0.0000 2.4804 1.4321 4.0505" Properties=species:S:1:pos:R:3 comment="Y2CuAg | Alexandria via LeMat-Bulk | GGA-PBEsol | relaxed" dft_energy_ev_per_fu=-22.35 relative_energy_mev_per_atom=0.0 spacegroup="No. 225" pbc="T T T"
Y 7.4412 4.2962 3.0378
Y 2.4804 1.4321 1.0126
Cu 0.0000 0.0000 0.0000
Ag 4.9608 2.8641 2.0252


[4]
4
Lattice="3.6793 0.0000 -0.2571 0.0000 4.5881 0.0000 -1.4896 0.0000 5.3781" Properties=species:S:1:pos:R:3 comment="Y2CuAg | Alexandria via LeMat-Bulk | GGA-PBEsol | relaxed" dft_energy_ev_per_fu=-22.31 relative_energy_mev_per_atom=10.4 spacegroup="No. 6" pbc="T T T"
Ag 0.3929 0.0000 2.4778
Y 2.1866 2.2941 1.6490
Y -1.2898 0.0000 4.8736
Cu 0.5054 2.2941 4.0593


[5]
4
Lattice="-3.4782 -2.4014 2.0358 -3.0616 -2.3837 -2.6370 0.0679 -4.6908 -0.0117" Properties=species:S:1:pos:R:3 comment="YCuAg2 | Alexandria via LeMat-Bulk | GGA-PBEsol | relaxed" dft_energy_ev_per_fu=-18.41 spacegroup="No. 216" pbc="T T T"
Ag 0.0000 0.0000 0.0000
Ag -1.6179 -2.3690 -0.1532
Y -4.8538 -7.1070 -0.4596
Cu -3.2359 -4.7380 -0.3064


[6]
4
Lattice="-0.6067 -2.8187 -2.0050 4.2374 -2.0347 1.5783 -2.4284 -2.1466 3.7525" Properties=species:S:1:pos:R:3 comment="Y2CuAg | Alexandria via LeMat-Bulk | GGA-PBEsol | relaxed" dft_energy_ev_per_fu=-22.35 relative_energy_mev_per_atom=0.7 spacegroup="No. 123" pbc="T T T"
Y -1.2142 -1.0733 1.8763
Y 2.1187 -1.0173 0.7891
Cu -0.3033 -1.4093 -1.0025
Ag 0.6012 -3.5000 1.6629


[7]
4
Lattice="-0.8462 -1.7663 -1.9078 4.4854 0.7865 -0.7584 0.2111 -3.4904 3.1379" Properties=species:S:1:pos:R:3 comment="Zn2CuAg | Alexandria via LeMat-Bulk | GGA-PBEsol | relaxed" dft_energy_ev_per_fu=-10.95 spacegroup="No. 12" pbc="T T T"
Zn 1.7017 -3.4989 0.5255
Zn 2.1487 -0.9713 -0.0538
Cu 0.1056 -1.7452 1.5689
Ag -0.4231 -0.8831 -0.9539


[8]
4
Lattice="3.0708 0.0000 0.0000 0.0000 4.3016 0.0000 -1.5354 -2.1508 4.1910" Properties=species:S:1:pos:R:3 comment="Zn2CuAg | Alexandria via LeMat-Bulk | GGA-PBEsol | relaxed" dft_energy_ev_per_fu=-10.93 spacegroup="No. 71" pbc="T T T"
Ag 1.5354 0.0000 0.0000
Cu 0.0000 2.1508 0.0000
Zn 1.5354 2.1508 1.9865
Zn 0.0000 0.0000 2.2046


[9]
4
Lattice="2.7566 0.0000 0.0000 0.0000 4.4878 0.0231 0.0000 -1.3461 4.2813" Properties=species:S:1:pos:R:3 comment="ZnCu2Ag | Alexandria via LeMat-Bulk | GGA-PBEsol | relaxed" dft_energy_ev_per_fu=-13.52 spacegroup="No. 65" pbc="T T T"
Cu 0.0000 2.2439 0.0115
Cu 0.0000 -0.6731 2.1406
Zn 1.3783 0.0000 0.0000
Ag 1.3783 1.5709 2.1522


[10]
4
Lattice="-2.0921 1.9608 3.0873 -2.3379 -2.2282 2.7060 1.2499 -0.4374 4.0000" Properties=species:S:1:pos:R:3 comment="ZnCu2Ag | Alexandria via LeMat-Bulk | GGA-PBEsol | relaxed" dft_energy_ev_per_fu=-13.46 spacegroup="No. 216" pbc="T T T"
Cu -0.7950 -0.1762 2.4483
Cu 0.0000 0.0000 0.0000
Ag -1.5901 -0.3524 4.8967
Zn -2.3851 -0.5286 7.3450


[11]
4
Lattice="2.9287 0.0000 -0.3878 0.0000 2.9935 0.0000 -2.1193 0.0000 6.5427" Properties=species:S:1:pos:R:3 comment="Zn2CuAg | Alexandria via LeMat-Bulk | GGA-PBEsol | relaxed" dft_energy_ev_per_fu=-11.13 spacegroup="No. 47" pbc="T T T"
Cu -1.0597 1.4967 3.2714
Zn 0.2231 0.0000 1.6990
Zn 0.5863 0.0000 4.4559
Ag 1.4644 1.4967 -0.1939


[12]
4
Lattice="-0.9380 -0.7574 2.5498 2.5733 -0.9427 0.6667 1.5804 5.9822 2.3585" Properties=species:S:1:pos:R:3 comment="ZnCu2Ag | Alexandria via LeMat-Bulk | GGA-PBEsol | relaxed" dft_energy_ev_per_fu=-13.58 spacegroup="No. 99" pbc="T T T"
Zn 0.7494 2.8366 1.1183
Ag 2.0133 3.6754 3.3924
Cu 1.2024 0.6064 2.1825
Cu 0.0409 0.1546 0.0610


[13]
4
Lattice="-0.7250 0.6359 -3.7151 -0.6977 -3.7405 -0.5041 -3.1170 2.1518 2.9593" Properties=species:S:1:pos:R:3 comment="ZnCuAg2 | Alexandria via LeMat-Bulk | GGA-PBEsol | relaxed" dft_energy_ev_per_fu=-12.52 spacegroup="No. 119" pbc="T T T"
Zn -2.2630 -1.5705 0.1728
Ag -2.2766 0.6177 -1.4327
Ag 0.0000 0.0000 0.0000
Cu -0.7113 -1.5523 -2.1096


[14]
4
Lattice="3.7615 0.0000 0.0000 0.0000 3.7615 0.0000 -1.8808 -1.8808 3.7296" Properties=species:S:1:pos:R:3 comment="ZnCu2Ag | Alexandria via LeMat-Bulk | GGA-PBEsol | relaxed" dft_energy_ev_per_fu=-13.58 spacegroup="No. 119" pbc="T T T"
Ag 0.0000 1.8808 1.8648
Zn 1.8808 1.8808 0.0000
Cu 0.0000 0.0000 0.0000
Cu 1.8808 0.0000 1.8648


[15]
4
Lattice="4.2770 0.0000 0.0000 2.1385 3.7040 0.0000 2.1385 1.2347 3.4921" Properties=species:S:1:pos:R:3 comment="Zn2CuAg | Alexandria via LeMat-Bulk | GGA-PBEsol | relaxed" dft_energy_ev_per_fu=-10.85 spacegroup="No. 216" pbc="T T T"
Ag 4.2770 2.4693 1.7461
Zn 6.4154 3.7040 2.6191
Zn 0.0000 0.0000 0.0000
Cu 2.1385 1.2347 0.8730


[16]
4
Lattice="-2.7672 -0.0383 0.8371 1.0611 -2.8038 3.3791 1.6948 4.6792 0.8233" Properties=species:S:1:pos:R:3 comment="ZnCuAg2 | Alexandria via LeMat-Bulk | GGA-PBEsol | relaxed" dft_energy_ev_per_fu=-12.57 spacegroup="No. 8" pbc="T T T"
Zn -0.9818 1.8277 1.8312
Ag 0.8931 0.2445 2.9635
Ag 0.0552 -0.0224 0.1815
Cu 0.8638 3.0454 2.9948


[17]
4
Lattice="3.1152 0.0000 0.0000 0.0000 4.3154 0.0000 -1.5576 -2.1577 4.3231" Properties=species:S:1:pos:R:3 comment="ZnCuAg2 | Alexandria via LeMat-Bulk | GGA-PBEsol | relaxed" dft_energy_ev_per_fu=-12.55 spacegroup="No. 44" pbc="T T T"
Cu 1.5576 2.1577 0.1148
Zn 0.0000 2.1577 2.0425
Ag 1.5576 0.0000 2.2600
Ag 1.5576 2.1577 4.2289


[18]
4
Lattice="2.7376 0.0000 0.0000 -1.3688 4.3877 -0.0553 0.0000 -0.9526 4.4238" Properties=species:S:1:pos:R:3 comment="ZnCu2Ag | Alexandria via LeMat-Bulk | GGA-PBEsol | relaxed" dft_energy_ev_per_fu=-13.50 spacegroup="No. 12" pbc="T T T"
Cu 0.0000 1.9984 1.1282
Cu 1.3688 1.4366 3.2403
Zn 0.0000 -0.4763 2.2119
Ag 1.3688 0.0000 0.0000


[19]
4
Lattice="-0.9432 1.8329 1.7906 -4.0619 -1.1885 -0.9230 0.1739 -3.2275 3.3905" Properties=species:S:1:pos:R:3 comment="Zn2CuAg | Alexandria via LeMat-Bulk | GGA-PBEsol | relaxed" dft_energy_ev_per_fu=-10.97 spacegroup="No. 25" pbc="T T T"
Ag -0.2742 -0.7849 2.2175
Zn -2.8060 0.0787 2.0826
Zn -0.6608 -1.4515 4.7769
Cu -2.2441 -2.5173 2.9528


[20]
4
Lattice="-1.5132 2.1372 -0.7882 -2.6208 -2.2102 -0.9615 -2.1158 0.3404 4.9847" Properties=species:S:1:pos:R:3 comment="ZnCu2Ag | Alexandria via LeMat-Bulk | GGA-PBEsol | relaxed" dft_energy_ev_per_fu=-13.57 spacegroup="No. 25" pbc="T T T"
Ag -3.6618 0.2201 2.8823
Cu -0.0459 0.0074 0.1082
Cu -2.5854 0.0469 0.3464
Zn -1.0146 0.1632 2.3904


[21]
4
Lattice="3.7782 0.0000 0.0000 0.0000 3.7782 0.0000 -1.8891 -1.8891 3.7000" Properties=species:S:1:pos:R:3 comment="ZnCu2Ag | Alexandria via LeMat-Bulk | GGA-PBEsol | relaxed" dft_energy_ev_per_fu=-13.56 spacegroup="No. 139" pbc="T T T"
Cu 1.8891 0.0000 1.8500
Cu 0.0000 1.8891 1.8500
Zn 1.8891 1.8891 0.0000
Ag 0.0000 0.0000 0.0000


[22]
4
Lattice="2.7558 0.0232 0.0352 -0.0440 4.5641 0.2903 -0.0440 -1.5359 4.3077" Properties=species:S:1:pos:R:3 comment="Zn2CuAg | Alexandria via LeMat-Bulk | GGA-PBEsol | relaxed" dft_energy_ev_per_fu=-10.96 spacegroup="No. 65" pbc="T T T"
Cu 1.3779 0.0116 0.0176
Ag 1.3340 1.5257 2.3166
Zn -0.0220 -0.7679 2.1539
Zn -0.0220 2.2821 0.1452


[23]
4
Lattice="-0.6804 -2.6498 -1.3925 -1.3506 -1.0027 2.5679 -5.1076 2.2596 -1.8041" Properties=species:S:1:pos:R:3 comment="Zn2CuAg | Alexandria via LeMat-Bulk | GGA-PBEsol | relaxed" dft_energy_ev_per_fu=-10.91 spacegroup="No. 99" pbc="T T T"
Ag -2.5773 1.1402 -0.9103
Zn -5.0276 2.2242 -1.7759
Zn -2.2292 -1.2893 0.1590
Cu -4.9660 -0.0786 -0.8077


[24]
4
Lattice="-0.8918 -1.5474 2.1383 3.3683 -2.9325 -0.7173 2.2221 3.7584 1.8316" Properties=species:S:1:pos:R:3 comment="Zn2CuAg | Alexandria via LeMat-Bulk | GGA-PBEsol | relaxed" dft_energy_ev_per_fu=-10.96 spacegroup="No. 8" pbc="T T T"
Cu 3.4969 -0.7171 0.9396
Ag 1.2246 -2.2147 0.7231
Zn 4.6397 -0.7019 3.2423
Zn 1.2739 -0.0494 2.3106


[25]
4
Lattice="2.8145 0.0000 0.0000 -1.4072 4.4432 -0.0081 0.0000 -0.8950 4.7076" Properties=species:S:1:pos:R:3 comment="ZnCuAg2 | Alexandria via LeMat-Bulk | GGA-PBEsol | relaxed" dft_energy_ev_per_fu=-12.47 spacegroup="No. 12" pbc="T T T"
Cu 1.4072 0.0000 0.0000
Ag 0.0000 1.9883 1.1630
Ag 1.4072 1.5599 3.5365
Zn 0.0000 -0.4475 2.3538


[26]
4
Lattice="-3.9285 -0.6451 0.1179 0.6146 -3.3726 2.0276 1.4572 3.7725 1.9213" Properties=species:S:1:pos:R:3 comment="Zn2CuAg | Alexandria via LeMat-Bulk | GGA-PBEsol | relaxed" dft_energy_ev_per_fu=-10.99 spacegroup="No. 139" pbc="T T T"
Cu 0.0000 0.0000 0.0000
Zn 0.2075 -0.8045 2.5108
Zn -2.0641 0.5593 1.5560
Ag -1.6570 -2.0088 1.0728


[27]
4
Lattice="-3.3259 -0.2797 1.6862 1.5764 -2.1672 2.7500 0.7716 3.1567 2.0454" Properties=species:S:1:pos:R:3 comment="Zn2CuAg | Alexandria via LeMat-Bulk | GGA-PBEsol | relaxed" dft_energy_ev_per_fu=-10.98 spacegroup="No. 123" pbc="T T T"
Ag -0.4890 0.3549 3.2408
Cu -1.6630 -0.1398 0.8431
Zn 0.3858 1.5784 1.0227
Zn 0.7882 -1.0836 1.3750


[28]
4
Lattice="2.8307 0.0000 0.0000 0.0000 2.8307 0.0000 0.0000 0.0000 7.2600" Properties=species:S:1:pos:R:3 comment="ZnCuAg2 | Alexandria via LeMat-Bulk | GGA-PBEsol | relaxed" dft_energy_ev_per_fu=-12.60 spacegroup="No. 99" pbc="T T T"
Ag 1.4154 1.4154 1.9667
Ag 0.0000 0.0000 7.1490
Cu 0.0000 0.0000 3.7525
Zn 1.4154 1.4154 5.2817


[29]
4
Lattice="3.1494 0.0000 0.0000 0.0000 4.2958 0.0000 0.0000 0.0000 4.2958" Properties=species:S:1:pos:R:3 comment="ZnCuAg2 | Alexandria via LeMat-Bulk | GGA-PBEsol | relaxed" dft_energy_ev_per_fu=-12.47 spacegroup="No. 123" pbc="T T T"
Zn 1.5747 0.0000 0.0000
Cu 1.5747 2.1479 2.1479
Ag 0.0000 0.0000 2.1479
Ag 0.0000 2.1479 0.0000


[30]
4
Lattice="-2.6490 -0.9410 -2.7955 2.1927 -3.1413 -1.0205 -1.6183 -0.0441 4.3596" Properties=species:S:1:pos:R:3 comment="ZnCuAg2 | Alexandria via LeMat-Bulk | GGA-PBEsol | relaxed" dft_energy_ev_per_fu=-12.53 spacegroup="No. 139" pbc="T T T"
Cu -0.2281 -2.0412 -1.9080
Ag -2.2477 -1.5131 -0.1719
Ag 0.1731 -2.6133 0.7156
Zn 0.0000 0.0000 0.0000


It is found that the D(E_F) values, taken in the order of the records, are 8.7, 9.1, 2.3, 3.3, 2.1, 2.3, 1.0, 1.1, 1.1, 1.1, 0.9, 1.0, 1.1, 1.1, 1.3, 1.0, 0.9, 1.1, 1.0, 1.1, 1.2, 1.0, 1.0, 0.9, 0.8, 1.0, 1.4, 1.2, 1.4, 1.3 states/eV/cell.
It is found that the calculated formation energy values, taken in the order of the records, are -0.257, 0.606, -0.266, -0.255, -0.157, -0.265, -0.034, -0.029, 0.010, 0.026, -0.080, -0.005, 0.006, -0.004, -0.009, -0.007, -0.002, 0.016, -0.041, -0.002, 0.001, -0.038, -0.025, -0.038, 0.017, -0.045, -0.042, -0.015, 0.018, 0.003 eV/atom.